No. 1
VASP calculation (PBE) on a relaxed structure of Sb6Au7.

Output
Space-group type: No. 166
Formation energy without anion corrections: 7.8 kJ/mol of atoms
E: -3.587 eV per atom

a b c (Å): 10.870 10.870 10.870
angles (deg): 30.56 30.56 30.56
Fractional coordinates of all 13 atoms:
Sb: 0.050 0.050 0.050
Sb: 0.167 0.167 0.167
Sb: 0.340 0.340 0.340
Sb: 0.660 0.660 0.660
Sb: 0.833 0.833 0.833
Sb: 0.950 0.950 0.950
Au: 0.087 0.588 0.588
Au: 0.412 0.412 0.913
Au: 0.412 0.913 0.412
Au: 0.500 0.500 0.500
Au: 0.588 0.087 0.588
Au: 0.588 0.588 0.087
Au: 0.913 0.412 0.412

---

No. 2
VASP calculation (PBE) on a relaxed structure of TmCr3Tc3.

Output
Space-group type: No. 223
E: -8.236 eV per atom
Calculated formation energy: 970 meV/atom

a b c (Å): 6.512 6.512 6.512
angles (deg): 90.00 90.00 90.00
Fractional coordinates of all 14 atoms:
Tm: 0.000 0.000 0.000
Tm: 0.500 0.500 0.500
Cr: 0.000 0.250 0.500
Cr: 0.000 0.750 0.500
Cr: 0.250 0.500 0.000
Cr: 0.500 0.000 0.250
Cr: 0.500 0.000 0.750
Cr: 0.750 0.500 0.000
Tc: 0.000 0.500 0.250
Tc: 0.000 0.500 0.750
Tc: 0.250 0.000 0.500
Tc: 0.500 0.250 0.000
Tc: 0.500 0.750 0.000
Tc: 0.750 0.000 0.500

---

| no. | volume (Å³/atom) |
| --- | --- |
| 1 | 22.64 |
| 2 | 19.72 |